Record 1
The following is a SCAN calculation of a PBEsol-optimized structure of LiLaO2F, from Alexandria via LeMat-Bulk.

Unit cell a=3.7025 b=3.7895 c=3.7895 alpha=90.00 beta=90.00 gamma=90.00
Last column: nearest neighbours and their distance in Å.
Fractional coordinates of all 5 atoms:
F1 0.5000 0.0000 0.0000  2 Li 1.85
Li1 0.0000 0.0000 0.0000  2 F 1.85, 4 O 1.89
O1 0.0000 0.0000 0.5000  2 Li 1.89
O2 0.0000 0.5000 0.0000  2 Li 1.89
La1 0.5000 0.5000 0.5000  8 O 2.65, 4 F 2.68

Output
Its space-group type is No. 123. The value obtained for the uncorrected formation energy is -2.89 eV per atom. For the volume, the calculation gives 10.63 A^3/atom. The density comes out at 6.1 Mg/m³.

Record 2
The following is a SCAN calculation of a PBEsol-optimized structure of LiLa2S2O8F3, from Alexandria via LeMat-Bulk.

Unit cell a=6.9401 b=8.2097 c=8.5027 alpha=114.38 beta=114.09 gamma=90.00
Last column: nearest neighbours and their distance in Å.
Fractional coordinates of all 32 atoms:
Li1 0.5917 0.7500 0.0000  1 F 1.97
Li2 0.4083 0.2500 0.0000  1 F 1.97
La1 0.7865 0.0325 0.7592  4 F 2.39-2.50, 5 O 2.52-2.65
La2 0.9726 0.5325 0.7592  4 F 2.39-2.50, 5 O 2.52-2.65
La3 0.0274 0.4675 0.2408  4 F 2.39-2.50, 5 O 2.52-2.65
La4 0.2135 0.9675 0.2408  4 F 2.39-2.50, 5 O 2.52-2.65
S1 0.2451 0.8462 0.6571  4 O 1.48-1.50
S2 0.7549 0.1538 0.3429  4 O 1.48-1.50
S3 0.4120 0.3462 0.6571  4 O 1.48-1.50
S4 0.5880 0.6538 0.3429  4 O 1.48-1.50
O1 0.1834 0.8323 0.4624  1 S 1.48
O2 0.2790 0.3323 0.4624  1 S 1.48
O3 0.6054 0.4943 0.7673  1 S 1.48
O4 0.3946 0.5057 0.2327  1 S 1.48
O5 0.1619 0.9943 0.7673  1 S 1.48
O6 0.7118 0.6229 0.2305  1 S 1.48
O7 0.8381 0.0057 0.2327  1 S 1.48
O8 0.4813 0.8771 0.7695  1 S 1.48
O9 0.2882 0.3771 0.7695  1 S 1.48
O10 0.1460 0.6625 0.6158  1 S 1.50
O11 0.4697 0.1625 0.6158  1 S 1.50
O12 0.8166 0.1677 0.5376  1 S 1.48
O13 0.5303 0.8375 0.3842  1 S 1.50
O14 0.7210 0.6677 0.5376  1 S 1.48
O15 0.5187 0.1229 0.2305  1 S 1.48
O16 0.8540 0.3375 0.3842  1 S 1.50
F1 0.0105 0.6650 0.0954  3 La 2.39-2.50, 2 F 2.45-2.48, 1 O 2.54
F2 0.0849 0.1650 0.0954  3 La 2.39-2.50, 2 F 2.45-2.48, 1 O 2.54
F3 0.9895 0.3350 0.9046  3 La 2.39-2.50, 2 F 2.45-2.48, 1 O 2.54
F4 0.9151 0.8350 0.9046  3 La 2.39-2.50, 2 F 2.45-2.48, 1 O 2.54
F5 0.3083 0.7500 0.0000  1 Li 1.97
F6 0.6917 0.2500 0.0000  1 Li 1.97

Output
Its space-group type is No. 15. The value obtained for the uncorrected formation energy is -2.89 eV per atom. For the volume, the calculation gives 12.33 A^3/atom. The density comes out at 4.5 Mg/m³.

Record 3
The following is a SCAN calculation of a PBEsol-optimized structure of Li2LaSeF, from Alexandria via LeMat-Bulk.

Unit cell a=5.3915 b=6.7734 c=6.7734 alpha=90.00 beta=90.00 gamma=90.00
Last column: nearest neighbours and their distance in Å.
Fractional coordinates of all 5 atoms:
F1 0.5000 0.5000 0.5000  8 Li 4.33, 4 Se 4.79
Li1 0.0000 0.0000 0.5000  2 La 3.39
Li2 0.0000 0.5000 0.0000  2 La 3.39
Se1 0.5000 0.0000 0.0000  2 La 2.70
La1 0.0000 0.0000 0.0000  2 Se 2.70

Output
Its space-group type is No. 123. The value obtained for the uncorrected formation energy is -0.18 eV per atom. For the volume, the calculation gives 49.47 A^3/atom. The density comes out at 1.7 Mg/m³.

Record 4
The following is a SCAN calculation of a PBEsol-optimized structure of LaMg2F, from Alexandria via LeMat-Bulk.

Unit cell a=6.5441 b=6.5441 c=6.5441 alpha=60.00 beta=60.00 gamma=60.00
Last column: nearest neighbours and their distance in Å.
Fractional coordinates of all 8 atoms:
Mg1 0.1250 0.1250 0.6250  2 F 2.00
Mg2 0.1250 0.1250 0.1250  2 F 2.00
Mg3 0.6250 0.1250 0.1250  2 F 2.00
Mg4 0.1250 0.6250 0.1250  2 F 2.00
F1 0.2500 0.2500 0.2500  4 Mg 2.00
F2 0.0000 0.0000 0.0000  4 Mg 2.00
La1 0.7500 0.7500 0.7500  12 Mg 3.84, 4 La 4.01, 4 F 4.01
La2 0.5000 0.5000 0.5000  12 Mg 3.84, 4 F 4.01, 4 La 4.01

Output
Its space-group type is No. 227. The value obtained for the uncorrected formation energy is -1.06 eV per atom. For the volume, the calculation gives 24.77 A^3/atom. The density comes out at 3.5 Mg/m³.

Record 5
The following is a SCAN calculation of a PBEsol-optimized structure of NaLaMg2F, from Alexandria via LeMat-Bulk.

Unit cell a=5.1062 b=4.9171 c=4.9171 alpha=90.00 beta=90.00 gamma=90.00
Last column: nearest neighbours and their distance in Å.
Fractional coordinates of all 5 atoms:
Na1 0.5000 0.5000 0.5000  4 La 3.48, 8 Mg 3.54
Mg1 0.0000 0.0000 0.5000  2 F 2.46
Mg2 0.0000 0.5000 0.0000  2 F 2.46
F1 0.0000 0.0000 0.0000  4 Mg 2.46, 2 La 2.55
La1 0.5000 0.0000 0.0000  2 F 2.55

Output
Its space-group type is No. 123. The value obtained for the uncorrected formation energy is -0.77 eV per atom. For the volume, the calculation gives 24.69 A^3/atom. The density comes out at 3.1 Mg/m³.

Record 6
The following is a SCAN calculation of a PBEsol-optimized structure of LaMgO2F, from Alexandria via LeMat-Bulk.

Unit cell a=3.7219 b=3.9836 c=3.9836 alpha=90.00 beta=90.00 gamma=90.00
Last column: nearest neighbours and their distance in Å.
Fractional coordinates of all 5 atoms:
Mg1 0.0000 0.0000 0.0000  2 F 1.86, 4 O 1.99
F1 0.5000 0.0000 0.0000  2 Mg 1.86
O1 0.0000 0.0000 0.5000  2 Mg 1.99
O2 0.0000 0.5000 0.0000  2 Mg 1.99
La1 0.5000 0.5000 0.5000  8 O 2.73, 4 F 2.82

Output
Its space-group type is No. 123. The value obtained for the uncorrected formation energy is -3.50 eV per atom. For the volume, the calculation gives 11.81 A^3/atom. The density comes out at 6.0 Mg/m³.

Record 7
The following is a SCAN calculation of a PBEsol-optimized structure of LaMnF2, from Alexandria via LeMat-Bulk.

Unit cell a=3.2650 b=3.2650 c=7.6306 alpha=77.65 beta=77.65 gamma=60.00
Last column: nearest neighbours and their distance in Å.
Fractional coordinates of all 4 atoms:
F1 0.9121 0.9121 0.2637  1 Mn 1.95
F2 0.0879 0.0879 0.7363  1 Mn 1.95
Mn1 0.0000 0.0000 0.0000  2 F 1.95
La1 0.5000 0.5000 0.5000  6 F 2.57

Output
Its space-group type is No. 166. The value obtained for the uncorrected formation energy is -2.16 eV per atom. For the volume, the calculation gives 17.07 A^3/atom. The density comes out at 5.6 Mg/m³.

Record 8
The following is a SCAN calculation of a PBEsol-optimized structure of LaMnNF2, from Alexandria via LeMat-Bulk.

Unit cell a=4.5266 b=4.5266 c=4.7506 alpha=90.00 beta=90.00 gamma=90.00
Last column: nearest neighbours and their distance in Å.
Fractional coordinates of all 5 atoms:
N1 0.0000 0.0000 0.5000  2 La 2.38
F1 0.0000 0.5000 0.0000  2 La 2.26
F2 0.5000 0.0000 0.0000  2 La 2.26
Mn1 0.5000 0.5000 0.5000  4 N 3.20, 8 F 3.28
La1 0.0000 0.0000 0.0000  4 F 2.26, 2 N 2.38

Output
Its space-group type is No. 123. The value obtained for the uncorrected formation energy is -1.62 eV per atom. For the volume, the calculation gives 19.47 A^3/atom. The density comes out at 4.2 Mg/m³.

Record 9
The following is a SCAN calculation of a PBEsol-optimized structure of LaMn2SF, from Alexandria via LeMat-Bulk.

Unit cell a=4.0124 b=4.0124 c=5.7699 alpha=90.00 beta=90.00 gamma=90.00
Last column: nearest neighbours and their distance in Å.
Fractional coordinates of all 5 atoms:
S1 0.0000 0.0000 0.0000  4 Mn 2.01
Mn1 0.0000 0.5000 0.0000  2 S 2.01
Mn2 0.5000 0.0000 0.0000  2 S 2.01
F1 0.5000 0.5000 0.5000  4 La 2.84
La1 0.0000 0.0000 0.5000  4 F 2.84, 2 S 2.88

Output
Its space-group type is No. 123. The value obtained for the uncorrected formation energy is -0.86 eV per atom. For the volume, the calculation gives 18.58 A^3/atom. The density comes out at 5.4 Mg/m³.

Record 10
The following is a SCAN calculation of a PBEsol-optimized structure of LaMn2TeF, from Alexandria via LeMat-Bulk.

Unit cell a=4.3172 b=4.3172 c=5.7081 alpha=90.00 beta=90.00 gamma=90.00
Last column: nearest neighbours and their distance in Å.
Fractional coordinates of all 5 atoms:
F1 0.0000 0.0000 0.0000  4 Mn 2.16
Te1 0.0000 0.0000 0.5000  2 F 2.85, 4 La 3.05
Mn1 0.0000 0.5000 0.0000  2 F 2.16
Mn2 0.5000 0.0000 0.0000  2 F 2.16
La1 0.5000 0.5000 0.5000  4 Te 3.05

Output
Its space-group type is No. 123. The value obtained for the uncorrected formation energy is -0.83 eV per atom. For the volume, the calculation gives 21.28 A^3/atom. The density comes out at 6.2 Mg/m³.

Q: Which of these has the lowest uncorrected formation energy?
A: LaMgO2F

Repeat the fourth record exactly.
The following is a SCAN calculation of a PBEsol-optimized structure of LaMg2F, from Alexandria via LeMat-Bulk.

Unit cell a=6.5441 b=6.5441 c=6.5441 alpha=60.00 beta=60.00 gamma=60.00
Last column: nearest neighbours and their distance in Å.
Fractional coordinates of all 8 atoms:
Mg1 0.1250 0.1250 0.6250  2 F 2.00
Mg2 0.1250 0.1250 0.1250  2 F 2.00
Mg3 0.6250 0.1250 0.1250  2 F 2.00
Mg4 0.1250 0.6250 0.1250  2 F 2.00
F1 0.2500 0.2500 0.2500  4 Mg 2.00
F2 0.0000 0.0000 0.0000  4 Mg 2.00
La1 0.7500 0.7500 0.7500  12 Mg 3.84, 4 La 4.01, 4 F 4.01
La2 0.5000 0.5000 0.5000  12 Mg 3.84, 4 F 4.01, 4 La 4.01

Output
Its space-group type is No. 227. The value obtained for the uncorrected formation energy is -1.06 eV per atom. For the volume, the calculation gives 24.77 A^3/atom. The density comes out at 3.5 Mg/m³.

Q: uncorrected formation energy of number 6 (LaMgO2F)?
A: -3.50 eV per atom